La2BeAs4Pd3 | PBE | relaxed

Properties
The magnetization is 0.00 Bohr magnetons per cell. The calculation puts the total energy at -5.580 eV/atom. The value obtained for the energy of formation from the pure elements is -0.80 eV per atom.

Structure (POSCAR):
```
La2BeAs4Pd3
1.0
4.405 0.000 0.000
0.000 4.405 0.000
0.000 0.000 10.081
La Be As Pd
2 1 4 3
direct
0.000 0.500 0.250 La
0.500 0.000 0.750 La
0.000 0.000 0.500 Be
0.000 0.000 0.000 As
0.000 0.500 0.626 As
0.500 0.000 0.374 As
0.500 0.500 0.000 As
0.000 0.500 0.874 Pd
0.500 0.000 0.126 Pd
0.500 0.500 0.500 Pd
```

***

AlI2NF | PBE | relaxed

Properties
The magnetization is 1.45 Bohr magnetons per cell. The calculation puts the total energy at -2.384 eV/atom. The polymorph energy (0 for the lowest one) comes out at 890 meV per atom. As for the uncorrected formation energy: 1024 meV/atom.

Structure (POSCAR):
```
AlI2NF
1.0
5.658 0.000 0.000
0.000 5.658 0.000
0.000 0.000 3.940
Al I N F
1 2 1 1
direct
0.000 0.000 0.000 Al
0.000 0.500 0.500 I
0.500 0.000 0.500 I
0.500 0.500 0.000 N
0.500 0.500 0.500 F
```

***

Pr2NdErAs4 | PBE | relaxed

Properties
The magnetization is 0.00 Bohr magnetons per cell. The calculation puts the total energy at -6.182 eV/atom. The value obtained for the energy of formation from the pure elements is -1.50 eV per atom.

Structure (POSCAR):
```
Pr2NdErAs4
1.0
7.349 0.000 0.000
0.000 4.248 0.000
-2.450 0.000 6.930
Pr Nd Er As
2 1 1 4
direct
0.000 0.000 0.000 Pr
0.000 0.500 0.500 Pr
0.500 0.000 0.500 Nd
0.500 0.500 0.000 Er
0.256 0.500 0.247 As
0.260 0.000 0.758 As
0.740 0.000 0.242 As
0.744 0.500 0.753 As
```

***

Th2VSi4Pt3 | PBE | relaxed

Properties
The magnetization is 2.15 Bohr magnetons per cell. The calculation puts the total energy at -7.389 eV/atom. As for the uncorrected formation energy: -1012 meV/atom.

Structure (POSCAR):
```
Th2VSi4Pt3
1.0
4.249 0.000 0.000
0.000 4.249 0.000
0.000 0.000 10.023
Th V Si Pt
2 1 4 3
direct
0.000 0.500 0.250 Th
0.500 0.000 0.750 Th
0.000 0.000 0.500 V
0.000 0.000 0.000 Si
0.000 0.500 0.634 Si
0.500 0.000 0.366 Si
0.500 0.500 0.000 Si
0.000 0.500 0.881 Pt
0.500 0.000 0.119 Pt
0.500 0.500 0.500 Pt
```

***

CsPb2Au2 | PBE | relaxed

Properties
The magnetization is 0.00 Bohr magnetons per cell. The calculation puts the total energy at -3.000 eV/atom. The polymorph energy (0 for the lowest one) comes out at 189 meV per atom. The value obtained for the energy of formation from the pure elements is -0.04 eV per atom.

Structure (POSCAR):
```
CsPb2Au2
1.0
9.301 0.000 0.000
0.000 9.301 0.000
0.000 0.000 3.403
Cs Pb Au
2 4 4
direct
0.000 0.000 0.000 Cs
0.500 0.500 0.000 Cs
0.139 0.361 0.500 Pb
0.361 0.861 0.500 Pb
0.639 0.139 0.500 Pb
0.861 0.639 0.500 Pb
0.145 0.645 0.000 Au
0.355 0.145 0.000 Au
0.645 0.855 0.000 Au
0.855 0.355 0.000 Au
```

***

Ba4TlI2Cl | PBE | relaxed

Properties
The magnetization is 0.00 Bohr magnetons per cell. The calculation puts the total energy at -3.103 eV/atom. As for the uncorrected formation energy: -1228 meV/atom.

Structure (POSCAR):
```
Ba4TlI2Cl
1.0
8.431 0.000 0.000
0.000 4.818 0.000
-2.851 0.000 8.591
Ba Tl I Cl
4 1 2 1
direct
0.241 0.000 0.219 Ba
0.256 0.500 0.771 Ba
0.744 0.500 0.229 Ba
0.759 0.000 0.781 Ba
0.500 0.000 0.000 Tl
0.000 0.000 0.500 I
0.500 0.500 0.500 I
0.000 0.500 0.000 Cl
```

***

Na2Ca2Sc | PBE | relaxed

Properties
The magnetization is 0.00 Bohr magnetons per cell. The calculation puts the total energy at -2.300 eV/atom. The polymorph energy (0 for the lowest one) comes out at 0 meV per atom. The value obtained for the energy of formation from the pure elements is 0.29 eV per atom.

Structure (POSCAR):
```
Na2Ca2Sc
1.0
-2.093 2.093 10.180
2.093 -2.093 10.180
2.093 2.093 -10.180
Na Ca Sc
2 2 1
direct
0.250 0.750 0.500 Na
0.750 0.250 0.500 Na
0.094 0.094 0.000 Ca
0.906 0.906 0.000 Ca
0.500 0.500 0.000 Sc
```

***

Dy6GeTe3P2 | PBE | relaxed

Properties
The magnetization is 0.00 Bohr magnetons per cell. The calculation puts the total energy at -5.807 eV/atom. As for the uncorrected formation energy: -1434 meV/atom.

Structure (POSCAR):
```
Dy6GeTe3P2
1.0
9.266 -2.079 0.000
9.266 2.079 0.000
-2.270 0.000 8.229
Dy Ge Te P
6 1 3 2
direct
0.009 0.009 0.234 Dy
0.324 0.324 0.437 Dy
0.340 0.340 0.894 Dy
0.660 0.660 0.106 Dy
0.676 0.676 0.563 Dy
0.991 0.991 0.766 Dy
0.500 0.500 0.000 Ge
0.167 0.167 0.833 Te
0.500 0.500 0.500 Te
0.833 0.833 0.167 Te
0.168 0.168 0.335 P
0.832 0.832 0.665 P
```